# Ga3MoO

A relaxed Ga3MoO crystal (PBE+U, Alexandria via LeMat-Bulk).

## Properties
The calculated density comes out at 4.180 g cm⁻³. The total magnetization is 3.80 μB/cell. The value obtained for the density of states at the Fermi level is 0.761 states/eV/atom. Its crystal system is cubic. Its energy above the most stable polymorph in this dataset is 3.510 eV/f.u.

Lattice parameters (Å, degrees): 5.0340 5.0340 5.0340 90.00 90.00 90.00
With the nearest neighbours (Å) after each atom.
Space group Pm-3m (No. 221)
Symmetry-distinct sites (fractional):
Ga 0.0000 0.0000 0.5000 [3 per cell]  2 Mo 2.52
Mo 0.0000 0.0000 0.0000 [1 per cell]  6 Ga 2.52
O 0.5000 0.5000 0.5000 [1 per cell]  12 Ga 3.56